# 1
Material: PaCr2SiO8
Method: DFT, PBE with a Hubbard U
State: optimized geometry

```
12
Lattice="5.714 0.000 0.000 -2.857 4.949 0.000 0.000 0.000 5.570" Properties=species:S:1:pos:R:3 pbc="T T T"
Cr 0.000 3.299 0.328
O 4.457 0.726 4.464
O 0.000 1.452 1.107
Cr 2.857 1.650 5.242
O 2.857 3.497 4.464
O 0.000 3.299 4.244
O 1.600 4.223 1.107
O 1.257 0.726 4.464
Pa 0.000 0.000 2.785
Si 0.000 0.000 0.000
O -1.600 4.223 1.107
O 2.857 1.650 1.326
```

Computed properties:
- Total magnetic moment: 5.002 μB per formula unit
- Space-group type: P-3m1, No. 164
- Electronic total energy: -93.0 eV/cell


# 2
Material: PaCrSiO6
Method: DFT, PBE with a Hubbard U
State: optimized geometry

```
18
Lattice="-4.585 1.326 2.052 0.229 -3.595 -3.744 0.877 -6.073 5.885" Properties=species:S:1:pos:R:3 pbc="T T T"
Pa -1.157 -3.473 -0.341
Cr 0.439 -3.036 2.942
O -0.587 -6.185 4.394
O 0.393 -5.069 2.446
O -2.814 -1.528 3.390
O -1.551 -0.494 1.315
O -1.280 -2.888 1.758
Si -2.761 -1.833 1.591
Pa -2.323 -4.869 4.533
O 0.678 -7.685 2.657
O -3.872 -3.273 1.747
O -2.199 -5.454 2.434
O -2.892 -2.157 -0.201
O -1.928 -7.848 2.877
Cr 0.000 0.000 0.000
Si -0.718 -6.509 2.602
O -4.157 -0.657 1.536
O -0.665 -6.814 0.802
```

Computed properties:
- Total magnetic moment: 3.007 μB per formula unit
- Space-group type: P-31c, No. 163
- Electronic total energy: -150.7 eV/cell


# 3
Material: PaCr2SiO6
Method: DFT, PBE with a Hubbard U
State: optimized geometry

```
10
Lattice="-1.367 4.268 0.169 -1.022 -0.542 5.418 5.177 1.612 1.138" Properties=species:S:1:pos:R:3 pbc="T T T"
O 1.893 1.111 3.301
O 2.789 4.300 2.212
Pa 1.259 3.091 3.379
Cr -1.779 3.690 2.866
Cr 1.320 4.767 0.726
O 2.220 3.998 5.228
O -0.092 3.403 1.579
O -0.661 3.101 4.594
O -0.364 1.138 0.045
Si -0.852 2.662 0.106
```

Computed properties:
- Total magnetic moment: 7.684 μB per formula unit
- Space-group type: P4mm, No. 99
- Electronic total energy: -81.0 eV/cell


# 4
Material: SmPaCrO6
Method: DFT, PBE with a Hubbard U
State: optimized geometry

```
9
Lattice="4.803 0.000 0.000 0.000 5.424 0.000 0.000 -2.712 4.697" Properties=species:S:1:pos:R:3 pbc="T T T"
O 3.534 -1.093 4.575
O 3.534 1.796 3.356
Sm 2.402 2.712 1.566
Pa 0.000 0.000 3.131
O 1.269 1.093 4.575
Cr 2.402 0.000 0.000
O 3.534 -0.704 1.463
O 1.269 0.704 1.463
O 1.269 -1.796 3.356
```

Computed properties:
- Total magnetic moment: 1.997 μB per formula unit
- Space-group type: P312, No. 149
- Electronic total energy: -76.3 eV/cell


# 5
Material: SmPaCr2O8
Method: DFT, PBE with a Hubbard U
State: optimized geometry

```
12
Lattice="6.037 0.079 0.000 -2.607 5.446 0.000 -1.715 -2.763 5.088" Properties=species:S:1:pos:R:3 pbc="T T T"
Cr 1.715 2.763 0.000
O -0.096 1.547 4.189
Pa 0.000 0.000 0.000
O 2.813 1.542 3.511
Sm -1.304 2.723 2.544
O 0.286 2.163 0.898
O 4.456 0.522 1.577
O 3.224 -1.463 3.511
O 3.145 3.362 0.898
Cr 3.019 0.039 2.544
O 0.096 -1.547 4.189
O 1.581 -0.443 1.577
```

Computed properties:
- Total magnetic moment: 4.000 μB per formula unit
- Space-group type: I-4m2, No. 119
- Electronic total energy: -99.4 eV/cell


# 6
Material: PaCr2SnO8
Method: DFT, PBE with a Hubbard U
State: optimized geometry

```
12
Lattice="-0.135 3.675 4.476 -4.079 -4.081 -0.522 3.927 -4.403 3.733" Properties=species:S:1:pos:R:3 pbc="T T T"
Cr -0.301 -0.198 3.902
O -0.372 -4.449 5.547
O 0.017 1.508 4.416
O -2.056 -0.566 4.151
Pa 0.000 0.000 0.000
Cr 0.015 -4.611 3.786
Sn 1.964 -2.202 1.867
O 0.086 -0.359 2.141
O 1.769 -4.243 3.537
O 0.626 -1.237 4.784
O -0.304 -6.317 3.272
O -0.913 -3.571 2.904
```

Computed properties:
- Total magnetic moment: 3.000 μB per formula unit
- Space-group type: P-3m1, No. 164
- Electronic total energy: -90.4 eV/cell